<P>
The following is a DFT calculation (SCAN) of LiTcNi2 at its PBEsol-relaxed geometry.

Calculated values
ρ ... 8.0 g/cm³
Magnetic moment ... 0.57 Bohr magnetons per cell

a = 2.4925 Å, b = 4.1607 Å, c = 4.4356 Å
α = 90.00°, β = 90.01°, γ = 90.00°
Last column: nearest neighbours and their distance in Å.
Fractional positions:
Ni1 0.8746 0.0000 0.9412  4 Li 2.49, 4 Ni 2.49-2.61, 4 Tc 2.52-2.57
Ni2 0.8753 0.5000 0.2958  4 Li 2.47-2.62, 4 Ni 2.49-2.61, 4 Tc 2.52
Tc1 0.3753 0.0000 0.4471  2 Tc 2.49, 8 Ni 2.52-2.57, 2 Li 2.65
Li1 0.3748 0.5000 0.8159  8 Ni 2.47-2.62, 2 Li 2.49, 2 Tc 2.65

***

<Q>
The following is a DFT calculation (SCAN) of LiTcNi2 at its PBEsol-relaxed geometry.

Calculated values
ρ ... 8.0 g/cm³
Magnetic moment ... 0.00 Bohr magnetons per cell

a = 4.0222 Å, b = 4.0222 Å, c = 4.0222 Å
α = 60.00°, β = 60.00°, γ = 60.00°
Last column: nearest neighbours and their distance in Å.
Fractional positions:
Li1 0.0000 0.0000 0.0000  8 Ni 2.46
Ni1 0.2500 0.2500 0.2500  4 Li 2.46, 4 Tc 2.46
Ni2 0.7500 0.7500 0.7500  4 Tc 2.46, 4 Li 2.46
Tc1 0.5000 0.5000 0.5000  8 Ni 2.46

***

<R>
The following is a DFT calculation (SCAN) of LiTcNi2 at its PBEsol-relaxed geometry.

Calculated values
ρ ... 8.0 g/cm³
Magnetic moment ... 1.07 Bohr magnetons per cell

a = 2.5141 Å, b = 3.6387 Å, c = 5.0484 Å
α = 90.00°, β = 90.11°, γ = 90.00°
Last column: nearest neighbours and their distance in Å.
Fractional positions:
Li1 0.5000 0.5000 0.5000  2 Li 2.51, 2 Tc 2.52, 8 Ni 2.56
Ni1 0.9995 0.0000 0.7558  4 Ni 2.47-2.58, 4 Tc 2.53, 4 Li 2.56
Ni2 0.0005 0.0000 0.2442  4 Ni 2.47-2.58, 4 Tc 2.53, 4 Li 2.56
Tc1 0.5000 0.5000 0.0000  2 Tc 2.51, 2 Li 2.52, 8 Ni 2.53

***

<S>
The following is a DFT calculation (SCAN) of LiTcNi2 at its PBEsol-relaxed geometry.

Calculated values
ρ ... 7.9 g/cm³
Magnetic moment ... 0.50 Bohr magnetons per cell

a = 2.5971 Å, b = 2.5971 Å, c = 6.9350 Å
α = 90.00°, β = 90.00°, γ = 90.00°
Last column: nearest neighbours and their distance in Å.
Fractional positions:
Ni1 0.0000 0.0000 0.7506  4 Tc 2.52, 4 Li 2.53, 4 Ni 2.60
Ni2 0.0000 0.0000 0.2494  4 Tc 2.52, 4 Li 2.53, 4 Ni 2.60
Tc1 0.5000 0.5000 0.0000  8 Ni 2.52, 4 Tc 2.60
Li1 0.5000 0.5000 0.5000  8 Ni 2.53, 4 Li 2.60

***

Stability check: which of them is least stable? <Q>.

***

<P>
The following is a DFT calculation (SCAN) of LiTcNi2 at its PBEsol-relaxed geometry.

Calculated values
ρ ... 8.4 g/cm³
Magnetic moment ... 0.00 Bohr magnetons per cell

a = 2.6866 Å, b = 4.1148 Å, c = 4.6869 Å
α = 116.04°, β = 106.65°, γ = 90.00°
Last column: nearest neighbours and their distance in Å.
Fractional positions:
Li1 0.0000 0.5000 0.0000  4 Ni 2.34, 4 Tc 2.46
Ni1 0.7396 0.7396 0.4791  2 Li 2.34, 4 Ni 2.46, 2 Tc 2.48
Ni2 0.2604 0.2604 0.5209  2 Li 2.34, 4 Ni 2.46, 2 Tc 2.48
Tc1 0.5000 0.0000 0.0000  4 Li 2.46, 4 Ni 2.48, 2 Tc 2.69

***

<Q>
The following is a DFT calculation (SCAN) of LiTcNi2 at its PBEsol-relaxed geometry.

Calculated values
ρ ... 7.9 g/cm³
Magnetic moment ... 0.24 Bohr magnetons per cell

a = 2.4855 Å, b = 4.3907 Å, c = 4.5663 Å
α = 102.28°, β = 105.79°, γ = 90.00°
Last column: nearest neighbours and their distance in Å.
Fractional positions:
Ni1 0.9796 0.0461 0.9592  3 Li 2.37-2.52, 4 Ni 2.47-2.49, 4 Tc 2.52-2.57
Ni2 0.2654 0.7054 0.5307  3 Tc 2.45-2.46, 4 Ni 2.47-2.49, 4 Li 2.53-2.54
Tc1 0.5196 0.5575 0.0392  7 Ni 2.45-2.57, 2 Tc 2.49, 1 Li 2.75
Li1 0.7354 0.1911 0.4709  7 Ni 2.37-2.54, 2 Li 2.49

***

Stability check: which of them is least stable? <P>.

***

<P>
The following is a DFT calculation (SCAN) of LiNiTe at its PBEsol-relaxed geometry.

Calculated values
ρ ... 6.5 g/cm³
Magnetic moment ... 0.00 Bohr magnetons per cell

a = 4.1202 Å, b = 4.1202 Å, c = 4.1202 Å
α = 60.00°, β = 60.00°, γ = 60.00°
Last column: nearest neighbours and their distance in Å.
Fractional positions:
Ni1 0.2500 0.2500 0.2500  4 Te 2.52, 4 Li 2.52
Te1 0.0000 0.0000 0.0000  4 Ni 2.52
Li1 0.5000 0.5000 0.5000  4 Ni 2.52

***

<Q>
The following is a DFT calculation (SCAN) of LiNiTe at its PBEsol-relaxed geometry.

Calculated values
ρ ... 6.2 g/cm³
Magnetic moment ... 0.00 Bohr magnetons per cell

a = 4.1931 Å, b = 4.1931 Å, c = 4.1931 Å
α = 60.00°, β = 60.00°, γ = 60.00°
Last column: nearest neighbours and their distance in Å.
Fractional positions:
Li1 0.0000 0.0000 0.0000  4 Te 2.57
Ni1 0.5000 0.5000 0.5000  4 Te 2.57
Te1 0.2500 0.2500 0.2500  4 Li 2.57, 4 Ni 2.57

***

Stability check: which of them is least stable? <Q>.

***

<P>
The following is a DFT calculation (SCAN) of LiZn2Ni at its PBEsol-relaxed geometry.

Calculated values
ρ ... 6.8 g/cm³
Magnetic moment ... 0.00 Bohr magnetons per cell

a = 2.9005 Å, b = 4.0692 Å, c = 4.0689 Å
α = 90.00°, β = 90.00°, γ = 90.00°
Last column: nearest neighbours and their distance in Å.
Fractional positions:
Ni1 0.5000 0.5000 0.1248  8 Zn 2.50
Zn1 0.0000 0.0000 0.1252  4 Li 2.50, 4 Ni 2.50
Zn2 0.0000 0.5000 0.6248  4 Ni 2.50, 4 Li 2.50
Li1 0.5000 0.0000 0.6252  8 Zn 2.50

***

<Q>
The following is a DFT calculation (SCAN) of LiZn2Ni at its PBEsol-relaxed geometry.

Calculated values
ρ ... 6.8 g/cm³
Magnetic moment ... 0.00 Bohr magnetons per cell

a = 3.5464 Å, b = 3.5464 Å, c = 4.5826 Å
α = 112.76°, β = 112.76°, γ = 90.00°
Last column: nearest neighbours and their distance in Å.
Fractional positions:
Ni1 0.2500 0.7500 0.5000  8 Zn 2.51-2.61, 4 Li 2.61
Zn1 0.0000 0.0000 0.0000  4 Li 2.51, 4 Ni 2.61, 4 Zn 2.61
Zn2 0.7500 0.2500 0.5000  4 Ni 2.51, 4 Li 2.61, 4 Zn 2.61
Li1 0.5000 0.5000 0.0000  8 Zn 2.51-2.61, 4 Ni 2.61

***

<R>
The following is a DFT calculation (SCAN) of LiZn2Ni at its PBEsol-relaxed geometry.

Calculated values
ρ ... 6.7 g/cm³
Magnetic moment ... 0.09 Bohr magnetons per cell

a = 2.8121 Å, b = 4.1327 Å, c = 4.7875 Å
α = 112.37°, β = 107.08°, γ = 90.00°
Last column: nearest neighbours and their distance in Å.
Fractional positions:
Ni1 0.7439 0.2225 0.4878  6 Zn 2.43-2.51, 2 Li 2.54
Zn1 0.0074 0.0314 0.0147  2 Ni 2.43, 4 Li 2.48-2.53, 2 Zn 2.56
Zn2 0.2546 0.7340 0.5093  4 Ni 2.49-2.51, 2 Zn 2.56, 3 Li 2.60-2.69
Li1 0.4941 0.5122 0.9882  7 Zn 2.48-2.69, 2 Ni 2.54

***

<S>
The following is a DFT calculation (SCAN) of LiZn2Ni at its PBEsol-relaxed geometry.

Calculated values
ρ ... 6.8 g/cm³
Magnetic moment ... 0.00 Bohr magnetons per cell

a = 4.0840 Å, b = 4.0840 Å, c = 4.0840 Å
α = 60.00°, β = 60.00°, γ = 60.00°
Last column: nearest neighbours and their distance in Å.
Fractional positions:
Ni1 0.5000 0.5000 0.5000  8 Zn 2.50
Zn1 0.2500 0.2500 0.2500  4 Ni 2.50, 4 Li 2.50
Zn2 0.7500 0.7500 0.7500  4 Li 2.50, 4 Ni 2.50
Li1 0.0000 0.0000 0.0000  8 Zn 2.50

***

Stability check: which of them is least stable? <Q>.

***

<P>
The following is a DFT calculation (SCAN) of LiZn2Ni at its PBEsol-relaxed geometry.

Calculated values
ρ ... 6.6 g/cm³
Magnetic moment ... 0.00 Bohr magnetons per cell

a = 2.6000 Å, b = 3.5022 Å, c = 5.4368 Å
α = 90.00°, β = 90.03°, γ = 90.00°
Last column: nearest neighbours and their distance in Å.
Fractional positions:
Ni1 0.5000 0.5000 0.5000  8 Zn 2.53, 2 Ni 2.60, 2 Li 2.72
Zn1 0.0003 0.0000 0.7341  4 Ni 2.53, 3 Zn 2.55-2.60, 4 Li 2.62
Zn2 0.9997 0.0000 0.2659  4 Ni 2.53, 3 Zn 2.55-2.60, 4 Li 2.62
Li1 0.5000 0.5000 0.0000  2 Li 2.60, 8 Zn 2.62, 2 Ni 2.72

***

<Q>
The following is a DFT calculation (SCAN) of LiZn2Ni at its PBEsol-relaxed geometry.

Calculated values
ρ ... 6.8 g/cm³
Magnetic moment ... 0.00 Bohr magnetons per cell

a = 4.0863 Å, b = 4.0863 Å, c = 4.0863 Å
α = 60.00°, β = 60.00°, γ = 60.00°
Last column: nearest neighbours and their distance in Å.
Fractional positions:
Ni1 0.2500 0.2500 0.2500  4 Li 2.50, 4 Zn 2.50
Zn1 0.0000 0.0000 0.0000  4 Ni 2.50, 4 Zn 2.50
Zn2 0.7500 0.7500 0.7500  4 Li 2.50, 4 Zn 2.50
Li1 0.5000 0.5000 0.5000  4 Ni 2.50, 4 Zn 2.50

***

Stability check: which of them is least stable? <Q>.

***

<P>
The following is a DFT calculation (SCAN) of LiZnNi at its PBEsol-relaxed geometry.

Calculated values
ρ ... 6.0 g/cm³
Magnetic moment ... 0.00 Bohr magnetons per cell

a = 2.7492 Å, b = 2.7492 Å, c = 5.1734 Å
α = 105.41°, β = 105.41°, γ = 90.00°
Last column: nearest neighbours and their distance in Å.
Fractional positions:
Ni1 0.3292 0.3292 0.6583  4 Zn 2.42, 4 Li 2.50
Zn1 0.6781 0.6781 0.3561  4 Ni 2.42, 4 Li 2.63
Li1 0.9928 0.9928 0.9856  4 Ni 2.50, 4 Zn 2.63, 4 Li 2.75

***

<Q>
The following is a DFT calculation (SCAN) of LiZnNi at its PBEsol-relaxed geometry.

Calculated values
ρ ... 6.3 g/cm³
Magnetic moment ... 0.00 Bohr magnetons per cell

a = 2.4900 Å, b = 4.0107 Å, c = 4.0107 Å
α = 120.00°, β = 90.00°, γ = 90.00°
Last column: nearest neighbours and their distance in Å.
Fractional positions:
Ni1 0.7101 0.3333 0.6667  3 Li 2.41, 2 Ni 2.49, 3 Zn 2.52
Zn1 0.3143 0.6667 0.3333  3 Li 2.46, 2 Zn 2.49, 3 Ni 2.52
Li1 0.9755 0.0000 0.0000  3 Ni 2.41, 3 Zn 2.46, 2 Li 2.49

***

Stability check: which of them is least stable? <P>.